A plane-wave DFT calculation with PBE with a Hubbard U was carried out for Rb6ZnCoO5 after structural relaxation.

The crystal system is monoclinic. The calculated total energy is -52.1 eV for the cell shown. The space group is Cm, No. 8. Its density is 4.1 g cm⁻³. The volume is 287.6 Å³ per cell.

abc: 6.9125 6.9125 6.8575
angles: 91.46 91.46 118.49
Closest atoms and distances in Å follow each position.
Atoms (fractional coordinates):
Rb: 0.0000 0.0000 0.0000  3 O 2.83-3.00
Rb: 0.2996 0.2996 0.6288  2 O 2.90, 1 Zn 3.19
Rb: 0.4231 0.8955 0.3196  5 O 2.80-3.02
Rb: 0.4488 0.8701 0.8222  4 O 2.72-2.86
Rb: 0.8701 0.4488 0.8222  4 O 2.72-2.86
Rb: 0.8955 0.4231 0.3196  5 O 2.80-3.02
Zn: 0.8620 0.8620 0.4909  3 O 1.90-1.93
Co: 0.4520 0.4520 0.1176  3 O 1.82-1.94
O: 0.0973 0.8232 0.5976  1 Zn 1.90
O: 0.2179 0.4919 0.0503  1 Co 1.82
O: 0.4919 0.2179 0.0503  1 Co 1.82
O: 0.6981 0.6981 0.2566  1 Zn 1.93, 1 Co 1.94
O: 0.8232 0.0973 0.5976  1 Zn 1.90